A plane-wave DFT calculation with PBE was carried out for AlZn2H after structural relaxation.

- symmetry = Fm-3m

```
data_AlZn2H
_cell_length_a 4.3128
_cell_length_b 4.3128
_cell_length_c 4.3128
_cell_angle_alpha 60.00
_cell_angle_beta 60.00
_cell_angle_gamma 60.00
_space_group_name_H-M_alt 'P 1'
_space_group_IT_number 1
_space_group_name_Hall 'P 1'
loop_
_atom_site_label
_atom_site_fract_x
_atom_site_fract_y
_atom_site_fract_z
_atom_site_occupancy
Al1 0.0000 0.0000 0.0000 1
Zn1 0.2500 0.2500 0.2500 1
Zn2 0.7500 0.7500 0.7500 1
H1 0.5000 0.5000 0.5000 1
```

=====

A plane-wave DFT calculation with PBE was carried out for Li3Np3FeS8 after structural relaxation.

- raw formation energy (eV/f.u.) = -17.2
- symmetry = R-3m

```
data_Li3Np3FeS8
_cell_length_a 7.5636
_cell_length_b 7.5636
_cell_length_c 7.5636
_cell_angle_alpha 60.83
_cell_angle_beta 60.83
_cell_angle_gamma 60.83
_space_group_name_H-M_alt 'P 1'
_space_group_IT_number 1
_space_group_name_Hall 'P 1'
loop_
_atom_site_label
_atom_site_fract_x
_atom_site_fract_y
_atom_site_fract_z
_atom_site_occupancy
Li1 0.0000 0.5000 0.5000 1
Li2 0.5000 0.0000 0.5000 1
Li3 0.5000 0.5000 0.0000 1
Np1 0.0000 0.0000 0.5000 1
Np2 0.0000 0.5000 0.0000 1
Np3 0.5000 0.0000 0.0000 1
Fe1 0.5000 0.5000 0.5000 1
S1 0.2524 0.2524 0.2524 1
S2 0.2646 0.2646 0.7353 1
S3 0.2646 0.7353 0.2646 1
S4 0.2647 0.7354 0.7354 1
S5 0.7353 0.2646 0.2646 1
S6 0.7354 0.2647 0.7354 1
S7 0.7354 0.7354 0.2647 1
S8 0.7476 0.7476 0.7476 1
```

=====

A plane-wave DFT calculation with PBE was carried out for SrScCr2Fe after structural relaxation.

- energy of formation from the pure elements (meV per atom) = 579
- symmetry = P4/mmm

```
data_SrScCr2Fe
_cell_length_a 4.7311
_cell_length_b 4.7311
_cell_length_c 4.7849
_cell_angle_alpha 90.00
_cell_angle_beta 90.00
_cell_angle_gamma 90.00
_space_group_name_H-M_alt 'P 1'
_space_group_IT_number 1
_space_group_name_Hall 'P 1'
loop_
_atom_site_label
_atom_site_fract_x
_atom_site_fract_y
_atom_site_fract_z
_atom_site_occupancy
Sr1 0.0000 0.0000 0.0000 1
Sc1 0.5000 0.5000 0.0000 1
Cr1 0.0000 0.5000 0.5000 1
Cr2 0.5000 0.0000 0.5000 1
Fe1 0.5000 0.5000 0.5000 1
```

=====

A plane-wave DFT calculation with PBE was carried out for RhF after structural relaxation.

- raw formation energy (eV/f.u.) = -1.3
- symmetry = I4/mmm

```
data_RhF
_cell_length_a 6.4355
_cell_length_b 6.4355
_cell_length_c 6.4355
_cell_angle_alpha 92.62
_cell_angle_beta 92.62
_cell_angle_gamma 155.31
_space_group_name_H-M_alt 'P 1'
_space_group_IT_number 1
_space_group_name_Hall 'P 1'
loop_
_atom_site_label
_atom_site_fract_x
_atom_site_fract_y
_atom_site_fract_z
_atom_site_occupancy
Rh1 0.1616 0.1616 0.3232 1
Rh2 0.1616 0.8384 0.0000 1
Rh3 0.8384 0.1616 0.0000 1
Rh4 0.8384 0.8384 0.6768 1
F1 0.0000 0.3174 0.3174 1
F2 0.0000 0.6826 0.6826 1
F3 0.3174 0.0000 0.3174 1
F4 0.6826 0.0000 0.6826 1
```

=====

Result set for DOS at the Fermi energy: 1.50 33.52 4.71 2.71 states/eV/f.u., one per record in the order listed.
Result set for total energy: -1.892 -6.880 -6.566 -5.237 eV/atom, one per record in the order listed.